# meta-GGA SCAN SbAsOs2, single point on PBEsol structure
# * raw formation energy: 0.744 eV per atom
data_SbAsOs2
_chemical_formula_sum 'Sb2 As2 Os4'
_space_group_name_H-M_alt 'C m m 2'
_space_group_IT_number 35
_cell_length_a 2.878
_cell_length_b 5.036
_cell_length_c 9.919
_cell_angle_alpha 90.00
_cell_angle_beta 90.00
_cell_angle_gamma 90.00
loop_
_space_group_symop_operation_xyz
'x,y,z'
'-x,-y,z'
'-x,y,z'
'x,-y,z'
'x+1/2,y+1/2,z'
'-x+1/2,-y+1/2,z'
'-x+1/2,y+1/2,z'
'x+1/2,-y+1/2,z'
loop_
_atom_site_label
_atom_site_type_symbol
_atom_site_fract_x
_atom_site_fract_y
_atom_site_fract_z
Sb1 Sb 0.000 0.000 0.000
As1 As 0.000 0.500 0.336
Os1 Os 0.000 0.000 0.544
Os2 Os 0.000 0.500 0.764

=====

# meta-GGA SCAN ThAl2Ni3, single point on PBEsol structure
# * ΔH_f (0 K): -13.045 kcal/mol of atoms
data_ThAl2Ni3
_chemical_formula_sum 'Th1 Al2 Ni3'
_space_group_name_H-M_alt 'P 6/m m m'
_space_group_IT_number 191
_space_group_name_Hall '-P 6 2'
_cell_length_a 5.2475
_cell_length_b 5.2475
_cell_length_c 3.8023
_cell_angle_alpha 90.00
_cell_angle_beta 90.00
_cell_angle_gamma 120.00
loop_
_atom_site_label
_atom_site_type_symbol
_atom_site_fract_x
_atom_site_fract_y
_atom_site_fract_z
Th1 Th 0.0000 0.0000 0.0000
Al1 Al 0.3333 0.6667 0.0000
Ni1 Ni 0.0000 0.5000 0.5000

=====

# meta-GGA SCAN ScTl2Os, single point on PBEsol structure
# * energy above the most stable polymorph in this dataset: 151 meV per atom
# * ΔH_f (0 K): 4.886 kcal/mol of atoms
data_ScTl2Os
_chemical_formula_sum 'Sc2 Tl4 Os2'
_space_group_name_H-M_alt 'I m m 2'
_space_group_IT_number 44
_cell_length_a 3.170
_cell_length_b 4.626
_cell_length_c 11.642
_cell_angle_alpha 90.00
_cell_angle_beta 90.00
_cell_angle_gamma 90.00
loop_
_space_group_symop_operation_xyz
'x,y,z'
'-x,-y,z'
'-x,y,z'
'x,-y,z'
'x+1/2,y+1/2,z+1/2'
'-x+1/2,-y+1/2,z+1/2'
'-x+1/2,y+1/2,z+1/2'
'x+1/2,-y+1/2,z+1/2'
loop_
_atom_site_label
_atom_site_type_symbol
_atom_site_fract_x
_atom_site_fract_y
_atom_site_fract_z
Sc1 Sc 0.000 0.000 0.000
Tl1 Tl 0.000 0.000 0.607
Tl2 Tl 0.000 0.500 0.811
Os1 Os 0.000 0.500 0.323

=====

Please write out number 3 again, unchanged.
# meta-GGA SCAN ScTl2Os, single point on PBEsol structure
# * energy above the most stable polymorph in this dataset: 151 meV per atom
# * ΔH_f (0 K): 4.886 kcal/mol of atoms
data_ScTl2Os
_chemical_formula_sum 'Sc2 Tl4 Os2'
_space_group_name_H-M_alt 'I m m 2'
_space_group_IT_number 44
_cell_length_a 3.170
_cell_length_b 4.626
_cell_length_c 11.642
_cell_angle_alpha 90.00
_cell_angle_beta 90.00
_cell_angle_gamma 90.00
loop_
_space_group_symop_operation_xyz
'x,y,z'
'-x,-y,z'
'-x,y,z'
'x,-y,z'
'x+1/2,y+1/2,z+1/2'
'-x+1/2,-y+1/2,z+1/2'
'-x+1/2,y+1/2,z+1/2'
'x+1/2,-y+1/2,z+1/2'
loop_
_atom_site_label
_atom_site_type_symbol
_atom_site_fract_x
_atom_site_fract_y
_atom_site_fract_z
Sc1 Sc 0.000 0.000 0.000
Tl1 Tl 0.000 0.000 0.607
Tl2 Tl 0.000 0.500 0.811
Os1 Os 0.000 0.500 0.323

=====

> Number 3 is which compound?

ScTl2Os